No. 1
# Sb5Se

Crystalline Sb5Se at its relaxed geometry (PBEsol, the Alexandria database).

```
Sb5Se
1.0
0.000 4.312 4.312
4.312 0.000 4.312
4.312 4.312 0.000
Sb Se
5 1
Cartesian
0.000 0.000 0.000
5.377 3.247 3.247
3.247 5.377 3.247
3.247 3.247 5.377
5.377 5.377 5.377
2.156 2.156 2.156
```

Results
Its energy above the most stable polymorph in this dataset is 436 meV per atom. For the density of states at the Fermi level, the calculation gives 4.95 states/eV per cell. Its symmetry is F-43m (216).

No. 2
# Sb5Se

Crystalline Sb5Se at its relaxed geometry (PBEsol, the Alexandria database).

```
Sb5Se
1.0
13.988 0.000 0.000
0.000 4.340 0.000
-2.595 0.000 5.481
Sb Se
10 2
Cartesian
0.000 0.000 0.000
-1.246 0.000 2.842
1.906 2.170 0.986
2.458 0.000 4.632
3.878 0.000 1.871
6.994 2.170 0.000
5.749 2.170 2.842
8.901 0.000 0.986
9.453 2.170 4.632
10.873 2.170 1.871
0.634 2.170 3.696
7.629 0.000 3.696
```

Results
Its energy above the most stable polymorph in this dataset is 0 meV per atom. For the density of states at the Fermi level, the calculation gives 5.91 states/eV per cell. Its symmetry is Cm (8).

No. 3
# SbSe2

Crystalline SbSe2 at its relaxed geometry (PBEsol, the Alexandria database).

```
SbSe2
1.0
10.283 0.000 0.000
0.000 4.121 0.000
-1.612 0.000 7.524
Sb Se
4 8
Cartesian
0.000 0.000 0.000
1.284 0.000 4.776
5.141 2.061 0.000
6.425 2.061 4.776
-0.101 2.061 2.008
2.630 0.000 0.006
2.075 2.061 2.999
3.853 0.000 5.483
5.040 0.000 2.008
7.771 2.061 0.006
7.216 0.000 2.999
8.994 2.061 5.483
```

Results
Its symmetry is Cm (8).

No. 4
# SbSe3

Crystalline SbSe3 at its relaxed geometry (PBEsol, the Alexandria database).

```
SbSe3
1.0
7.464 0.000 0.000
-3.732 6.464 0.000
0.000 0.000 3.862
Sb Se
2 6
Cartesian
0.000 4.309 0.965
3.732 2.155 2.896
0.000 2.208 2.896
-1.820 5.360 2.896
1.912 1.104 0.965
1.820 5.360 2.896
5.552 1.104 0.965
3.732 4.256 0.965
```

Results
Its energy above the most stable polymorph in this dataset is 0 meV per atom. For the density of states at the Fermi level, the calculation gives 4.82 states/eV per cell. Its symmetry is P6_3/mmc (194).

No. 5
# Sb2Se3

Crystalline Sb2Se3 at its relaxed geometry (PBEsol, the Alexandria database).

```
Sb2Se3
1.0
11.773 0.000 0.000
0.000 3.976 0.000
0.000 0.000 11.311
Sb Se
8 12
Cartesian
0.271 0.994 1.938
1.771 2.982 5.236
4.116 0.994 10.892
5.615 2.982 7.594
6.158 0.994 3.717
7.657 2.982 0.420
10.002 0.994 6.076
11.501 2.982 9.373
0.630 0.994 7.158
1.525 2.982 0.585
2.532 0.994 3.437
3.354 2.982 9.093
4.362 0.994 6.241
5.257 2.982 1.502
6.516 0.994 9.809
7.411 2.982 5.071
8.419 0.994 2.219
9.241 2.982 7.874
10.248 0.994 10.726
11.143 2.982 4.153
```

Results
Its symmetry is Pnma (62).

No. 6
# Sb3Se

Crystalline Sb3Se at its relaxed geometry (PBEsol, the Alexandria database).

```
Sb3Se
1.0
8.039 0.000 0.000
0.000 9.459 0.000
0.000 0.000 6.190
Sb Se
12 4
Cartesian
0.000 0.236 1.548
0.000 9.223 4.643
1.985 2.392 1.548
1.985 7.067 4.643
2.034 2.337 4.643
2.034 7.121 1.548
4.019 4.494 4.643
4.019 4.965 1.548
6.005 2.337 4.643
6.005 7.121 1.548
6.053 2.392 1.548
6.053 7.067 4.643
0.000 3.965 4.643
0.000 5.494 1.548
4.019 0.765 1.548
4.019 8.694 4.643
```

Results
For the density of states at the Fermi level, the calculation gives 5.09 states/eV per cell. Its symmetry is Cmcm (63).

No. 7
# Sb2Se

Crystalline Sb2Se at its relaxed geometry (PBEsol, the Alexandria database).

```
Sb2Se
1.0
4.212 0.000 0.000
0.000 9.358 0.000
0.000 0.000 4.024
Sb Se
4 2
Cartesian
0.922 1.798 0.000
1.184 6.477 2.012
3.028 2.881 2.012
3.290 7.560 0.000
0.000 4.679 0.000
2.106 0.000 2.012
```

Results
For the density of states at the Fermi level, the calculation gives 2.83 states/eV per cell. Its symmetry is Pnnm (58).

No. 8
# SiSbSe

Crystalline SiSbSe at its relaxed geometry (PBEsol, the Alexandria database).

```
SiSbSe
1.0
3.919 0.000 0.000
-1.959 3.394 0.000
0.000 0.000 4.907
Si Sb Se
1 1 1
Cartesian
0.000 0.000 0.000
1.959 1.131 3.457
0.000 2.263 1.486
```

Results
Its energy above the most stable polymorph in this dataset is 0 meV per atom. For the density of states at the Fermi level, the calculation gives 1.56 states/eV per cell. Its symmetry is P3m1 (156).

No. 9
# SiSb4Se

Crystalline SiSb4Se at its relaxed geometry (PBEsol, the Alexandria database).

```
SiSb4Se
1.0
0.000 4.272 4.272
4.272 0.000 4.272
4.272 4.272 0.000
Si Sb Se
1 4 1
Cartesian
0.000 0.000 0.000
3.215 3.215 3.215
5.330 5.330 3.215
5.330 3.215 5.330
3.215 5.330 5.330
6.409 6.409 6.409
```

Results
For the density of states at the Fermi level, the calculation gives 4.90 states/eV per cell. Its symmetry is F-43m (216).

No. 10
# Si2SbSe

Crystalline Si2SbSe at its relaxed geometry (PBEsol, the Alexandria database).

```
Si2SbSe
1.0
3.354 0.000 0.000
0.000 4.762 0.000
0.000 0.000 4.827
Si Sb Se
2 1 1
Cartesian
0.000 0.000 0.000
1.677 2.381 0.000
0.000 2.381 2.414
1.677 0.000 2.414
```

Results
Its energy above the most stable polymorph in this dataset is 257 meV per atom. For the density of states at the Fermi level, the calculation gives 2.24 states/eV per cell. Its symmetry is Pmmm (47).

No. 11
# SiSbSe2

Crystalline SiSbSe2 at its relaxed geometry (PBEsol, the Alexandria database).

```
SiSbSe2
1.0
7.275 0.000 0.000
0.000 7.275 0.000
0.000 0.000 6.791
Si Sb Se
4 4 8
Cartesian
0.000 0.000 0.000
0.000 3.637 1.698
3.637 0.000 5.093
3.637 3.637 3.395
0.000 0.000 3.395
0.000 3.637 5.093
3.637 0.000 1.698
3.637 3.637 0.000
1.552 1.819 0.849
1.819 5.189 2.547
1.819 5.723 5.942
2.086 1.819 4.244
5.189 5.456 4.244
5.456 1.552 5.942
5.456 2.086 2.547
5.723 5.456 0.849
```

Results
Its energy above the most stable polymorph in this dataset is 109 meV per atom. For the density of states at the Fermi level, the calculation gives 5.22 states/eV per cell. Its symmetry is I-42d (122).

No. 12
# SiSbSe2

Crystalline SiSbSe2 at its relaxed geometry (PBEsol, the Alexandria database).

```
SiSbSe2
1.0
3.725 0.000 0.000
-1.863 3.226 0.000
0.000 0.000 22.221
Si Sb Se
3 3 6
Cartesian
0.000 0.000 0.000
0.000 2.151 14.814
1.863 1.075 7.407
0.000 0.000 16.697
0.000 2.151 9.291
1.863 1.075 1.884
0.000 0.000 6.056
0.000 0.000 11.046
0.000 2.151 3.639
0.000 2.151 20.870
1.863 1.075 13.463
1.863 1.075 18.453
```

Results
Its energy above the most stable polymorph in this dataset is 0 meV per atom. For the density of states at the Fermi level, the calculation gives 5.63 states/eV per cell. Its symmetry is R3m (160).

Q: Which energy relative to the elements, uncorrected values were calculated for the entries above? A: 0.4272 -0.0088 -0.1325 0.1039 -0.2594 0.0064 0.0418 0.0852 0.6170 0.4233 0.1040 -0.0047, in eV/atom.
Q: Which electronic total energy values were calculated for the entries above? A: -4.012 -4.448 -4.218 -3.923 -4.392 -4.374 -4.280 -4.633 -4.021 -4.552 -4.397 -4.506, in eV/atom.